# CsDySbTe3

A relaxed structure of CsDySbTe3 (PBE-GGA, the Open Quantum Materials Database).

a b c (Å): 9.358 9.358 11.887
angles (deg): 90.00 90.00 152.60
Element x y z (fractional)
Cs  0.240  0.760  0.250
Cs  0.760  0.240  0.750
Dy  0.000  0.000  0.000
Dy  0.000  0.000  0.500
Sb  0.544  0.456  0.250
Sb  0.456  0.544  0.750
Te  0.620  0.380  0.026
Te  0.920  0.080  0.250
Te  0.620  0.380  0.474
Te  0.380  0.620  0.526
Te  0.080  0.920  0.750
Te  0.380  0.620  0.974

Summary:
The symmetry is Cmcm. Its electronic total energy is -3.901 eV per atom.